VASP calculation (GGA-PBE) on crystalline K2NpNi2Se4 at its relaxed geometry.

Properties
* total magnetic moment: 1.5 μB/f.u.
* D(E_F): 24.5 states/eV/cell
* uncorrected energy: -48.64 eV per formula unit

a b c (Å): 14.7133 4.0116 7.8963
angles (deg): 90.00 109.31 90.00
Space group C2/m (No. 12)
Unique sites:
K 0.1348 0.0000 0.0625
Np 0.0000 0.0000 0.5000
Ni 0.1841 0.5000 0.4904
Se 0.0229 0.5000 0.2663
Se 0.2007 0.0000 0.6701



VASP calculation (GGA-PBE) on crystalline K3Np3NiSe8 at its relaxed geometry.

Properties
* total magnetic moment: 11.6 μB/f.u.
* D(E_F): 97.3 states/eV/cell
* uncorrected energy: -91.04 eV per formula unit

a b c (Å): 8.1858 8.1858 23.5113
angles (deg): 90.00 90.00 120.00
Space group R-3m (No. 166, hexagonal axes)
Unique sites:
K 0.0000 0.5000 0.0000
Np 0.0000 0.5000 0.5000
Ni 0.0000 0.0000 0.5000
Se 0.0000 0.0000 0.2359
Se 0.0200 0.5100 0.2292



VASP calculation (GGA-PBE) on crystalline KNpNiSe4 at its relaxed geometry.

Properties
* total magnetic moment: 1.5 μB/f.u.
* D(E_F): 22.1 states/eV/cell
* uncorrected energy: -39.49 eV per formula unit

a b c (Å): 6.9450 5.7913 9.2926
angles (deg): 90.00 105.65 90.00
Space group P2_1/m (No. 11)
Unique sites:
K 0.2491 0.2500 0.4466
Np 0.2350 0.2500 0.9481
Ni 0.2489 0.7500 0.1605
Se 0.0438 0.7500 0.3227
Se 0.0783 0.7500 0.9109
Se 0.4837 0.5081 0.7914



VASP calculation (GGA-PBE) on crystalline KNpNiTe3 at its relaxed geometry.

Properties
* total magnetic moment: 2.9 μB/f.u.
* D(E_F): 24.3 states/eV/cell
* uncorrected energy: -33.04 eV per formula unit

a b c (Å): 9.8299 4.2750 10.1239
angles (deg): 90.00 109.95 90.00
Space group P2_1/m (No. 11)
Unique sites:
K 0.2038 0.2500 0.2409
Np 0.3165 0.7500 0.8436
Ni 0.0833 0.2500 0.5924
Te 0.1054 0.2500 0.8574
Te 0.1895 0.7500 0.5272
Te 0.4615 0.7500 0.1682



VASP calculation (GGA-PBE) on crystalline K4Np3NiTe8 at its relaxed geometry.

Properties
* total magnetic moment: 12.3 μB/f.u.
* D(E_F): 64.2 states/eV/cell
* uncorrected energy: -85.61 eV per formula unit

a b c (Å): 15.4492 8.9152 9.6588
angles (deg): 90.00 122.22 90.00
Space group C2/m (No. 12)
Unique sites:
K 0.0000 0.0000 0.0000
K 0.0000 0.5000 0.0000
K 0.2500 0.2500 0.0000
Np 0.0000 0.0000 0.5000
Np 0.2500 0.2500 0.5000
Ni 0.0000 0.5000 0.5000
Te 0.0130 0.2671 0.3060
Te 0.2208 0.5000 0.6947
Te 0.2375 0.0000 0.7125



What is the uncorrected energy in the fourth record?
-33.04 eV per formula unit